1.
# Ho5ThMg4 PBE-GGA relaxed
# **Crystal system**: tetragonal
data_Ho5ThMg4
_chemical_formula_sum 'Ho5 Th1 Mg4'
_space_group_name_H-M_alt 'P 1'
_space_group_IT_number 1
_cell_length_a 3.706
_cell_length_b 3.706
_cell_length_c 20.332
_cell_angle_alpha 90.00
_cell_angle_beta 90.00
_cell_angle_gamma 90.00
loop_
_space_group_symop_operation_xyz
'x,y,z'
loop_
_atom_site_label
_atom_site_type_symbol
_atom_site_fract_x
_atom_site_fract_y
_atom_site_fract_z
Ho1 Ho 0.000 0.000 0.000
Ho2 Ho 0.000 0.000 0.188
Ho3 Ho 0.000 0.000 0.385
Ho4 Ho 0.000 0.000 0.615
Ho5 Ho 0.000 0.000 0.812
Th1 Th 0.500 0.500 0.500
Mg1 Mg 0.500 0.500 0.095
Mg2 Mg 0.500 0.500 0.286
Mg3 Mg 0.500 0.500 0.714
Mg4 Mg 0.500 0.500 0.905

=====

2.
# Cd2InHg5Pb2 PBE-GGA relaxed
# **Crystal system**: tetragonal
data_Cd2InHg5Pb2
_chemical_formula_sum 'Cd4 In2 Hg10 Pb4'
_space_group_name_H-M_alt 'P 1'
_space_group_IT_number 1
_cell_length_a 11.377
_cell_length_b 11.377
_cell_length_c 4.188
_cell_angle_alpha 90.00
_cell_angle_beta 90.00
_cell_angle_gamma 90.00
loop_
_space_group_symop_operation_xyz
'x,y,z'
loop_
_atom_site_label
_atom_site_type_symbol
_atom_site_fract_x
_atom_site_fract_y
_atom_site_fract_z
Cd1 Cd 0.143 0.357 0.000
Cd2 Cd 0.357 0.857 0.000
Cd3 Cd 0.643 0.143 0.000
Cd4 Cd 0.857 0.643 0.000
In1 In 0.000 0.000 0.000
In2 In 0.500 0.500 0.000
Hg1 Hg 0.000 0.500 0.500
Hg2 Hg 0.029 0.202 0.500
Hg3 Hg 0.202 0.971 0.500
Hg4 Hg 0.298 0.471 0.500
Hg5 Hg 0.471 0.702 0.500
Hg6 Hg 0.500 0.000 0.500
Hg7 Hg 0.529 0.298 0.500
Hg8 Hg 0.702 0.529 0.500
Hg9 Hg 0.798 0.029 0.500
Hg10 Hg 0.971 0.798 0.500
Pb1 Pb 0.163 0.663 0.000
Pb2 Pb 0.337 0.163 0.000
Pb3 Pb 0.663 0.837 0.000
Pb4 Pb 0.837 0.337 0.000

=====

Total magnetic moment, record by record: 0.00, 0.00 μB per cell
Formation energy, record by record: -0.52, 0.56 eV per formula unit